# 1
The following is a PBE calculation of an optimized crystal structure of Sr2SnHg3, from Alexandria.

```
Sr2SnHg3
1.0
-2.410 5.979 0.469
-4.058 0.399 -5.014
-3.279 -6.209 7.304
Sr Sn Hg
4 2 6
Direct
0.750 0.250 0.500 Sr
0.757 0.243 0.000 Sr
0.250 0.750 0.500 Sr
0.243 0.757 0.000 Sr
0.665 0.665 0.330 Sn
0.335 0.335 0.670 Sn
0.832 0.832 0.166 Hg
0.666 0.666 0.834 Hg
0.168 0.168 0.834 Hg
0.334 0.334 0.166 Hg
0.167 0.167 0.334 Hg
0.833 0.833 0.666 Hg
```

Output
SG = No. 69
Energy of formation from the pure elements = -0.518 eV/atom


# 2
The following is a PBE calculation of an optimized crystal structure of Sr3Sn2Hg5, from Alexandria.

```
Sr3Sn2Hg5
1.0
-2.383 5.458 3.742
-6.028 -3.316 7.609
5.046 0.627 8.909
Sr Sn Hg
6 4 10
Direct
0.250 0.000 0.000 Sr
0.750 0.000 0.000 Sr
0.355 0.437 0.854 Sr
0.645 0.563 0.146 Sr
0.855 0.854 0.437 Sr
0.145 0.146 0.563 Sr
0.121 0.704 0.054 Sn
0.879 0.296 0.946 Sn
0.621 0.054 0.704 Sn
0.379 0.946 0.296 Sn
0.250 0.500 0.500 Hg
0.750 0.500 0.500 Hg
0.464 0.786 0.786 Hg
0.036 0.214 0.214 Hg
0.536 0.214 0.214 Hg
0.964 0.786 0.786 Hg
0.145 0.444 0.266 Hg
0.855 0.556 0.734 Hg
0.645 0.266 0.444 Hg
0.355 0.734 0.556 Hg
```

Output
SG = No. 72
Energy of formation from the pure elements = -0.341 eV/atom


# 3
The following is a PBE calculation of an optimized crystal structure of SrSn2Hg3, from Alexandria.

```
SrSn2Hg3
1.0
5.097 0.000 0.000
0.000 4.880 0.000
0.000 0.000 13.582
Sr Sn Hg
2 4 6
Direct
0.000 0.500 0.500 Sr
0.000 0.000 0.000 Sr
0.003 0.000 0.686 Sn
0.003 0.000 0.314 Sn
0.997 0.500 0.186 Sn
0.997 0.500 0.814 Sn
0.500 0.500 0.663 Hg
0.501 0.000 0.500 Hg
0.500 0.500 0.337 Hg
0.500 0.000 0.163 Hg
0.499 0.500 0.000 Hg
0.500 0.000 0.837 Hg
```

Output
ΔE to the lowest computed polymorph = 20 meV per atom
SG = No. 59
Energy of formation from the pure elements = -0.250 eV/atom


Question: Look up the energy of formation from the pure elements of the first one.
Answer: -0.518 eV/atom